Sc3ZnC | GGA-PBE | relaxed

Geometry as POSCAR:
```
Sc3ZnC
1.0
2.630 -7.686 0.000
2.630 7.686 0.000
0.000 0.000 5.572
Sc Zn C
6 2 2
Direct
0.000 0.000 0.000
0.000 0.000 0.500
0.081 0.419 0.250
0.419 0.081 0.750
0.581 0.919 0.250
0.919 0.581 0.750
0.163 0.837 0.250
0.837 0.163 0.750
0.434 0.566 0.250
0.566 0.434 0.750
```

## Properties
- ΔH_f (0 K) (eV per atom) = 0.683
- total energy (eV/atom) = -5.215
- density of states at the Fermi level (states/eV per cell) = 8.51
- calculated volume (Å³/f.u.) = 113
- spin magnetization (μB/cell) = 0.00
- SG = Cmcm, No. 63
- excess energy over the best structure of this formula in the dataset (meV per atom) = 1121


MgZr2TiO | GGA-PBE | relaxed

Geometry as POSCAR:
```
MgZr2TiO
1.0
4.610 0.000 0.000
0.000 4.610 0.000
0.000 0.000 4.059
Mg Zr Ti O
1 2 1 1
Direct
0.000 0.000 0.000
0.000 0.500 0.500
0.500 0.000 0.500
0.500 0.500 0.000
0.500 0.500 0.500
```

## Properties
- total energy (eV/atom) = -7.336
- density of states at the Fermi level (states/eV per cell) = 3.95
- calculated volume (Å³/f.u.) = 86
- spin magnetization (μB/cell) = 0.05
- SG = P4/mmm, No. 123
- energy relative to the elements, uncorrected (eV/atom) = -1.03


CsSn3Hg | GGA-PBE | relaxed

Geometry as POSCAR:
```
CsSn3Hg
1.0
5.833 0.000 0.000
0.000 5.833 0.000
0.000 0.000 5.833
Cs Sn Hg
1 3 1
Direct
0.000 0.000 0.000
0.000 0.500 0.500
0.500 0.000 0.500
0.500 0.500 0.000
0.500 0.500 0.500
```

## Properties
- ΔH_f (0 K) (eV per atom) = 0.276
- total energy (eV/atom) = -2.356
- density of states at the Fermi level (states/eV per cell) = 3.44
- calculated volume (Å³/f.u.) = 199
- spin magnetization (μB/cell) = 0.00
- SG = Pm-3m, No. 221
- excess energy over the best structure of this formula in the dataset (meV per atom) = 413


NaBeSi | GGA-PBE | relaxed

Geometry as POSCAR:
```
NaBeSi
1.0
3.627 0.000 0.000
0.000 3.627 0.000
0.000 0.000 7.777
Na Be Si
2 2 2
Direct
0.250 0.250 0.134
0.750 0.750 0.866
0.250 0.750 0.500
0.750 0.250 0.500
0.250 0.250 0.688
0.750 0.750 0.312
```

## Properties
- total energy (eV/atom) = -3.345
- density of states at the Fermi level (states/eV per cell) = 0.87
- calculated volume (Å³/f.u.) = 51
- spin magnetization (μB/cell) = 0.00
- SG = P4/nmm, No. 129
- energy relative to the elements, uncorrected (eV/atom) = 0.14


ScPOs2 | GGA-PBE | relaxed

Geometry as POSCAR:
```
ScPOs2
1.0
-1.467 2.289 4.447
1.467 -2.289 4.447
1.467 2.289 -4.447
Sc P Os
1 1 2
Direct
0.000 0.000 0.000
0.500 0.500 0.000
0.287 0.787 0.500
0.713 0.213 0.500
```

## Properties
- ΔH_f (0 K) (eV per atom) = -0.272
- total energy (eV/atom) = -8.822
- density of states at the Fermi level (states/eV per cell) = 2.84
- calculated volume (Å³/f.u.) = 60
- spin magnetization (μB/cell) = 0.00
- SG = Immm, No. 71


AsPdI2O | GGA-PBE | relaxed

Geometry as POSCAR:
```
AsPdI2O
1.0
5.576 0.000 0.000
0.000 5.576 0.000
0.000 0.000 3.870
As Pd I O
1 1 2 1
Direct
0.000 0.000 0.000
0.500 0.500 0.500
0.000 0.500 0.500
0.500 0.000 0.500
0.500 0.500 0.000
```

## Properties
- total energy (eV/atom) = -3.258
- density of states at the Fermi level (states/eV per cell) = 4.75
- calculated volume (Å³/f.u.) = 120
- spin magnetization (μB/cell) = 0.82
- SG = P4/mmm, No. 123
- energy relative to the elements, uncorrected (eV/atom) = 0.32
- excess energy over the best structure of this formula in the dataset (meV per atom) = 201